[1]
This record from Alexandria describes a relaxed structure of MgSi2. The functional is PBE-GGA.

Lattice parameters (Å, degrees): 3.7275 3.7275 4.8253 90.00 90.00 120.00
Space group P-3m1 (No. 164)
One atom of each set of equivalent atoms:
Mg  0.0000  0.0000  0.0000 x1
Si  0.3333  0.6667  0.3981 x2

Summary:
- Energy relative to the lowest polymorph listed for this composition: 0.044 eV per atom
- Formation energy without anion corrections: 67.4 meV per atom



[2]
This record from Alexandria describes a relaxed structure of MgSi2. The functional is PBE-GGA.

Lattice parameters (Å, degrees): 16.932 3.850 6.861 90.00 94.94 90.00
Space group Cm (No. 8)
One atom of each set of equivalent atoms:
Mg  0.000  0.000  0.000 x2
Mg  0.003  0.500  0.640 x2
Mg  0.225  0.500  0.558 x2
Mg  0.232  0.000  0.202 x2
Si  0.059  0.500  0.275 x2
Si  0.109  0.000  0.463 x2
Si  0.121  0.500  0.966 x2
Si  0.175  0.000  0.810 x2
Si  0.325  0.000  0.865 x2
Si  0.354  0.500  0.357 x2
Si  0.382  0.500  0.710 x2
Si  0.410  0.000  0.209 x2

Summary:
- Energy relative to the lowest polymorph listed for this composition: 0.086 eV per atom
- Formation energy without anion corrections: 109.5 meV per atom



[3]
This record from Alexandria describes a relaxed structure of MgSi2. The functional is PBE-GGA.

Lattice parameters (Å, degrees): 5.854 3.602 9.824 90.00 95.16 90.00
Space group P2/m (No. 10)
One atom of each set of equivalent atoms:
Mg  0.068  0.000  0.359 x2
Mg  0.226  0.500  0.844 x2
Si  0.000  0.000  0.000 x1
Si  0.247  0.500  0.143 x2
Si  0.324  0.500  0.564 x2
Si  0.490  0.000  0.716 x2
Si  0.500  0.000  0.000 x1

Summary:
- Energy relative to the lowest polymorph listed for this composition: 0.186 eV per atom
- Formation energy without anion corrections: 209.8 meV per atom



[4]
This record from Alexandria describes a relaxed structure of Mg5Si9. The functional is PBE-GGA.

Lattice parameters (Å, degrees): 7.393 7.444 10.505 88.07 87.94 65.40
Space group P1 (No. 1)
One atom of each set of equivalent atoms:
Mg  0.000  0.000  0.000 x1
Mg  0.012  0.336  0.162 x1
Mg  0.071  0.730  0.753 x1
Mg  0.109  0.302  0.843 x1
Mg  0.156  0.363  0.554 x1
Mg  0.335  0.695  0.473 x1
Mg  0.389  0.376  0.282 x1
Mg  0.530  0.290  0.995 x1
Mg  0.686  0.859  0.890 x1
Mg  0.783  0.446  0.416 x1
Si  0.023  0.659  0.351 x1
Si  0.027  0.015  0.345 x1
Si  0.106  0.597  0.012 x1
Si  0.272  0.976  0.659 x1
Si  0.340  0.038  0.037 x1
Si  0.341  0.008  0.273 x1
Si  0.392  0.696  0.005 x1
Si  0.442  0.364  0.738 x1
Si  0.477  0.668  0.771 x1
Si  0.481  0.011  0.479 x1
Si  0.550  0.293  0.525 x1
Si  0.565  0.669  0.206 x1
Si  0.759  0.132  0.204 x1
Si  0.802  0.159  0.792 x1
Si  0.810  0.567  0.687 x1
Si  0.819  0.810  0.535 x1
Si  0.830  0.782  0.165 x1
Si  0.920  0.080  0.573 x1

Summary:
- Energy relative to the lowest polymorph listed for this composition: 0.036 eV per atom
- Formation energy without anion corrections: 134.0 meV per atom



[5]
This record from Alexandria describes a relaxed structure of Mg5Si. The functional is PBE-GGA.

Lattice parameters (Å, degrees): 4.993 15.716 3.264 90.00 90.00 90.00
Space group Cmmm (No. 65)
One atom of each set of equivalent atoms:
Mg  0.000  0.000  0.000 x2
Mg  0.000  0.186  0.500 x4
Mg  0.000  0.358  0.000 x4
Si  0.000  0.500  0.500 x2

Summary:
- Formation energy without anion corrections: 46.1 meV per atom



[6]
This record from Alexandria describes a relaxed structure of MgSi2. The functional is PBE-GGA.

Lattice parameters (Å, degrees): 3.698 5.340 11.865 86.33 86.45 86.05
Space group P1 (No. 1)
One atom of each set of equivalent atoms:
Mg  0.000  0.000  0.000 x1
Mg  0.093  0.533  0.826 x1
Mg  0.451  0.189  0.214 x1
Mg  0.578  0.829  0.588 x1
Si  0.010  0.480  0.060 x1
Si  0.046  0.097  0.725 x1
Si  0.139  0.417  0.580 x1
Si  0.479  0.693  0.137 x1
Si  0.482  0.689  0.341 x1
Si  0.544  0.926  0.825 x1
Si  0.674  0.326  0.462 x1
Si  0.939  0.960  0.370 x1

Summary:
- Energy relative to the lowest polymorph listed for this composition: 0.075 eV per atom
- Formation energy without anion corrections: 98.8 meV per atom